## UAsF (PBE)

Data for a relaxed structure of UAsF.

Structure (POSCAR):
```
UAsF
1.0
3.352 0.000 0.000
0.000 3.352 0.000
0.000 0.000 9.903
U As F
2 2 2
Cartesian
0.000 0.000 0.000
1.676 1.676 4.952
0.000 0.000 3.143
1.676 1.676 8.095
0.000 0.000 5.972
1.676 1.676 1.021
```

Results
SG ... I4mm
Crystal system ... tetragonal
Energy relative to the elements, uncorrected ... -1.338 eV/atom
ΔE to the lowest computed polymorph ... 430.4 meV per atom